Version P
# AcSm2Zn PBE relaxed
data_AcSm2Zn
_cell_length_a 3.6565
_cell_length_b 3.6565
_cell_length_c 35.0350
_cell_angle_alpha 90.00
_cell_angle_beta 90.00
_cell_angle_gamma 120.00
_symmetry_space_group_name_H-M 'R -3 m'
_symmetry_Int_Tables_number 166
_symmetry_space_group_name_Hall '-R 3 2"'
loop_
_atom_site_label
_atom_site_type_symbol
_atom_site_fract_x
_atom_site_fract_y
_atom_site_fract_z
_atom_site_occupancy
Ac1 Ac 0.0000 0.0000 0.0000 1
Sm1 Sm 0.0000 0.0000 0.1042 1
Zn1 Zn 0.0000 0.0000 0.5000 1
# ρ ... 7.28 g/cm3
# Fermi-level density of states ... 1.47 states/eV/atom

Version Q
# AcSm2Zn PBE relaxed
data_AcSm2Zn
_cell_length_a 4.923
_cell_length_b 4.923
_cell_length_c 5.104
_cell_angle_alpha 90.00
_cell_angle_beta 90.00
_cell_angle_gamma 90.00
_symmetry_space_group_name_H-M 'P 4/m m m'
_symmetry_Int_Tables_number 123
_symmetry_space_group_name_Hall '-P 4 2'
loop_
_atom_site_label
_atom_site_type_symbol
_atom_site_fract_x
_atom_site_fract_y
_atom_site_fract_z
_atom_site_occupancy
Ac1 Ac 0.000 0.000 0.000 1
Sm1 Sm 0.000 0.500 0.500 1
Zn1 Zn 0.500 0.500 0.000 1
# ρ ... 7.96 g/cm3
# Fermi-level density of states ... 1.66 states/eV/atom

Short version: version Q is the most stable of them.

Version P
# AcSm2Zn PBE relaxed
data_AcSm2Zn
_cell_length_a 7.916
_cell_length_b 7.916
_cell_length_c 7.916
_cell_angle_alpha 90.00
_cell_angle_beta 90.00
_cell_angle_gamma 90.00
_symmetry_space_group_name_H-M 'F m -3 m'
_symmetry_Int_Tables_number 225
_symmetry_space_group_name_Hall '-F 4 2 3'
loop_
_atom_site_label
_atom_site_type_symbol
_atom_site_fract_x
_atom_site_fract_y
_atom_site_fract_z
_atom_site_occupancy
Ac1 Ac 0.000 0.000 0.000 1
Sm1 Sm 0.250 0.250 0.250 1
Zn1 Zn 0.000 0.000 0.500 1
# ρ ... 7.94 g/cm3
# Fermi-level density of states ... 1.50 states/eV/atom

Version Q
# AcSm2Zn PBE relaxed
data_AcSm2Zn
_cell_length_a 3.8061
_cell_length_b 3.8061
_cell_length_c 31.7365
_cell_angle_alpha 90.00
_cell_angle_beta 90.00
_cell_angle_gamma 120.00
_symmetry_space_group_name_H-M 'R 3 m'
_symmetry_Int_Tables_number 160
_symmetry_space_group_name_Hall 'R 3 -2"'
loop_
_atom_site_label
_atom_site_type_symbol
_atom_site_fract_x
_atom_site_fract_y
_atom_site_fract_z
_atom_site_occupancy
Ac1 Ac 0.0000 0.0000 0.0000 1
Sm1 Sm 0.0000 0.0000 0.5662 1
Sm2 Sm 0.0000 0.0000 0.7656 1
Zn1 Zn 0.0000 0.0000 0.1655 1
# ρ ... 7.42 g/cm3
# Fermi-level density of states ... 1.15 states/eV/atom

Short version: version Q is the most stable of them.

Version P
# AcSmZn PBE relaxed
data_AcSmZn
_cell_length_a 7.415
_cell_length_b 7.415
_cell_length_c 7.415
_cell_angle_alpha 90.00
_cell_angle_beta 90.00
_cell_angle_gamma 90.00
_symmetry_space_group_name_H-M 'F -4 3 m'
_symmetry_Int_Tables_number 216
_symmetry_space_group_name_Hall 'F -4 2 3'
loop_
_atom_site_label
_atom_site_type_symbol
_atom_site_fract_x
_atom_site_fract_y
_atom_site_fract_z
_atom_site_occupancy
Ac1 Ac 0.000 0.000 0.000 1
Sm1 Sm 0.000 0.000 0.500 1
Zn1 Zn 0.250 0.250 0.750 1
# ρ ... 7.21 g/cm3
# Fermi-level density of states ... 1.82 states/eV/atom

Version Q
# AcSmZn PBE relaxed
data_AcSmZn
_cell_length_a 10.521
_cell_length_b 5.237
_cell_length_c 7.408
_cell_angle_alpha 90.00
_cell_angle_beta 90.00
_cell_angle_gamma 90.00
_symmetry_space_group_name_H-M 'P n m a'
_symmetry_Int_Tables_number 62
_symmetry_space_group_name_Hall '-P 2ac 2n'
loop_
_atom_site_label
_atom_site_type_symbol
_atom_site_fract_x
_atom_site_fract_y
_atom_site_fract_z
_atom_site_occupancy
Ac1 Ac 0.135 0.250 0.004 1
Sm1 Sm 0.113 0.250 0.503 1
Zn1 Zn 0.122 0.750 0.257 1
# ρ ... 7.21 g/cm3
# Fermi-level density of states ... 1.43 states/eV/atom

Short version: version Q is the most stable of them.

Version P
# AcSmZr PBE relaxed
data_AcSmZr
_cell_length_a 5.6391
_cell_length_b 5.6391
_cell_length_c 3.5099
_cell_angle_alpha 90.00
_cell_angle_beta 90.00
_cell_angle_gamma 120.00
_symmetry_space_group_name_H-M 'P -6 m 2'
_symmetry_Int_Tables_number 187
_symmetry_space_group_name_Hall 'P -6 2'
loop_
_atom_site_label
_atom_site_type_symbol
_atom_site_fract_x
_atom_site_fract_y
_atom_site_fract_z
_atom_site_occupancy
Ac1 Ac 0.0000 0.0000 0.0000 1
Sm1 Sm 0.6667 0.3333 0.5000 1
Zr1 Zr 0.3333 0.6667 0.0000 1
# ρ ... 8.05 g/cm3
# Fermi-level density of states ... 1.96 states/eV/atom

Version Q
# AcSmZr PBE relaxed
data_AcSmZr
_cell_length_a 3.556
_cell_length_b 3.556
_cell_length_c 15.506
_cell_angle_alpha 90.00
_cell_angle_beta 90.00
_cell_angle_gamma 90.00
_symmetry_space_group_name_H-M 'I 4 m m'
_symmetry_Int_Tables_number 107
_symmetry_space_group_name_Hall 'I 4 -2'
loop_
_atom_site_label
_atom_site_type_symbol
_atom_site_fract_x
_atom_site_fract_y
_atom_site_fract_z
_atom_site_occupancy
Ac1 Ac 0.000 0.000 0.000 1
Sm1 Sm 0.000 0.000 0.693 1
Zr1 Zr 0.000 0.000 0.337 1
# ρ ... 7.93 g/cm3
# Fermi-level density of states ... 1.42 states/eV/atom

Short version: version Q is the most stable of them.

Version P
# Ac5Sn PBE relaxed
data_Ac5Sn
_cell_length_a 5.349
_cell_length_b 16.857
_cell_length_c 5.360
_cell_angle_alpha 90.00
_cell_angle_beta 90.00
_cell_angle_gamma 90.00
_symmetry_space_group_name_H-M 'C m m m'
_symmetry_Int_Tables_number 65
_symmetry_space_group_name_Hall '-C 2 2'
loop_
_atom_site_label
_atom_site_type_symbol
_atom_site_fract_x
_atom_site_fract_y
_atom_site_fract_z
_atom_site_occupancy
Ac1 Ac 0.000 0.000 0.000 1
Ac2 Ac 0.000 0.161 0.500 1
Ac3 Ac 0.000 0.341 0.000 1
Sn1 Sn 0.000 0.500 0.500 1
# ρ ... 8.62 g/cm3
# Fermi-level density of states ... 1.04 states/eV/atom

Version Q
# Ac5Sn PBE relaxed
data_Ac5Sn
_cell_length_a 13.322
_cell_length_b 4.356
_cell_length_c 9.314
_cell_angle_alpha 90.00
_cell_angle_beta 111.55
_cell_angle_gamma 90.00
_symmetry_space_group_name_H-M 'C 1 2/m 1'
_symmetry_Int_Tables_number 12
_symmetry_space_group_name_Hall '-C 2y'
loop_
_atom_site_label
_atom_site_type_symbol
_atom_site_fract_x
_atom_site_fract_y
_atom_site_fract_z
_atom_site_occupancy
Ac1 Ac 0.000 0.000 0.000 1
Ac2 Ac 0.143 0.500 0.360 1
Ac3 Ac 0.165 0.500 0.800 1
Sn1 Sn 0.000 0.000 0.500 1
# ρ ... 8.28 g/cm3
# Fermi-level density of states ... 1.14 states/eV/atom

Short version: version P is the most stable of them.

Version P
# AcSn4 PBE relaxed
data_AcSn4
_cell_length_a 5.042
_cell_length_b 6.964
_cell_length_c 16.823
_cell_angle_alpha 90.00
_cell_angle_beta 90.00
_cell_angle_gamma 90.00
_symmetry_space_group_name_H-M 'I m m a'
_symmetry_Int_Tables_number 74
_symmetry_space_group_name_Hall '-I 2b 2'
loop_
_atom_site_label
_atom_site_type_symbol
_atom_site_fract_x
_atom_site_fract_y
_atom_site_fract_z
_atom_site_occupancy
Ac1 Ac 0.000 0.250 0.116 1
Sn1 Sn 0.000 0.000 0.500 1
Sn2 Sn 0.000 0.039 0.695 1
Sn3 Sn 0.000 0.250 0.904 1
# ρ ... 7.89 g/cm3
# Fermi-level density of states ... 0.53 states/eV/atom

Version Q
# AcSn4 PBE relaxed
data_AcSn4
_cell_length_a 6.152
_cell_length_b 6.152
_cell_length_c 6.152
_cell_angle_alpha 90.00
_cell_angle_beta 90.00
_cell_angle_gamma 90.00
_symmetry_space_group_name_H-M 'P m -3 m'
_symmetry_Int_Tables_number 221
_symmetry_space_group_name_Hall '-P 4 2 3'
loop_
_atom_site_label
_atom_site_type_symbol
_atom_site_fract_x
_atom_site_fract_y
_atom_site_fract_z
_atom_site_occupancy
Ac1 Ac 0.000 0.000 0.000 1
Sn1 Sn 0.000 0.000 0.500 1
Sn2 Sn 0.500 0.500 0.500 1
# ρ ... 5.01 g/cm3
# Fermi-level density of states ... 1.33 states/eV/atom

Short version: version P is the most stable of them.